# NpIn5Ag

A geometry-optimized NpIn5Ag structure (PBE, the Alexandria database).

```
7
Lattice="-0.384 3.335 -3.421 -0.093 -3.437 -3.340 -7.567 -0.319 0.538" Properties=species:S:1:pos:R:3 pbc="T T T"
Np 0.000 0.000 0.000
In -5.586 1.440 -1.327
In -5.441 -1.946 -1.286
In -0.238 -0.051 -3.381
In -2.218 -1.810 -1.516
In -2.364 1.576 -1.556
Ag -3.783 -0.160 0.269
```

Properties
* calculated formation energy: 0.00 eV/atom
* size of the total moment: 4.098 μB/cell
* total DFT energy (no corrections): -29.50 eV/cell
* DOS at the Fermi energy: 11.992 states/eV per cell